The following is a GGA-PBE calculation of Pu2Ge3Pd4Au after structural relaxation, from the Alexandria database.

Cell: 4.088 4.088 11.527 Å, 90.00 90.00 90.00°
Space group P-4m2 (No. 115)
Asymmetric unit:
Pu1 0.000 0.500 0.249 x2
Ge1 0.000 0.000 0.000 x1
Ge2 0.000 0.500 0.629 x2
Pd1 0.000 0.000 0.500 x1
Pd2 0.000 0.500 0.841 x2
Pd3 0.500 0.500 0.500 x1
Au1 0.500 0.500 0.000 x1

Calculated values
N(E_F) in states/eV/f.u.: 26.38
Energy in eV/f.u.: -71.8
Formation energy from the elements in eV/atom: -0.526
Spin magnetization in μB per cell: 10.91

The following is a GGA-PBE calculation of Pu2Ge4Pd3Au after structural relaxation, from the Alexandria database.

Cell: 4.343 4.343 10.288 Å, 90.00 90.00 90.00°
Space group P-4m2 (No. 115)
Asymmetric unit:
Pu1 0.000 0.500 0.246 x2
Ge1 0.000 0.000 0.000 x1
Ge2 0.000 0.500 0.639 x2
Ge3 0.500 0.500 0.000 x1
Pd1 0.000 0.500 0.875 x2
Pd2 0.500 0.500 0.500 x1
Au1 0.000 0.000 0.500 x1

Calculated values
N(E_F) in states/eV/f.u.: 28.20
Energy in eV/f.u.: -71.2
Formation energy from the elements in eV/atom: -0.517
Spin magnetization in μB per cell: 10.82

The following is a GGA-PBE calculation of Pu4Ge2PdAu after structural relaxation, from the Alexandria database.

Cell: 3.6605 3.6605 41.1564 Å, 90.00 90.00 120.00°
Space group R-3m (No. 166, hexagonal axes)
Asymmetric unit:
Pu1 0.0000 0.0000 0.0844 x6
Pu2 0.0000 0.0000 0.3859 x6
Ge1 0.0000 0.0000 0.2003 x6
Pd1 0.0000 0.0000 0.5000 x3
Au1 0.0000 0.0000 0.0000 x3

Calculated values
N(E_F) in states/eV/f.u.: 17.12
Energy in eV/f.u.: -76.0
Formation energy from the elements in eV/atom: -0.125
Spin magnetization in μB per cell: 3.50

The following is a GGA-PBE calculation of ScGePdAu after structural relaxation, from the Alexandria database.

Cell: 6.550 6.550 6.550 Å, 90.00 90.00 90.00°
Space group F-43m (No. 216)
Asymmetric unit:
Sc1 0.000 0.000 0.000 x4
Ge1 0.000 0.000 0.500 x4
Pd1 0.250 0.250 0.750 x4
Au1 0.250 0.250 0.250 x4

Calculated values
N(E_F) in states/eV/f.u.: 3.38
Energy in eV/f.u.: -21.8
Formation energy from the elements in eV/atom: -0.604
Spin magnetization in μB per cell: 0.00

The following is a GGA-PBE calculation of GePdAu2Se after structural relaxation, from the Alexandria database.

Cell: 4.886 4.886 5.172 Å, 90.00 90.00 90.00°
Space group P4/mmm (No. 123)
Asymmetric unit:
Ge1 0.000 0.000 0.000 x1
Pd1 0.500 0.500 0.000 x1
Au1 0.000 0.500 0.500 x2
Se1 0.000 0.000 0.500 x1

Calculated values
N(E_F) in states/eV/f.u.: 3.01
Energy in eV/f.u.: -16.0
Energy relative to the elements, uncorrected in eV per atom: 0.7609
Spin magnetization in μB per cell: 0.00

The following is a GGA-PBE calculation of SmGePdAu after structural relaxation, from the Alexandria database.

Cell: 6.867 6.867 6.867 Å, 90.00 90.00 90.00°
Space group F-43m (No. 216)
Asymmetric unit:
Sm1 0.000 0.000 0.000 x4
Ge1 0.000 0.000 0.500 x4
Pd1 0.250 0.250 0.250 x4
Au1 0.250 0.250 0.750 x4

Calculated values
N(E_F) in states/eV/f.u.: 3.05
Energy in eV/f.u.: -20.2
Formation energy from the elements in eV/atom: -0.589
Spin magnetization in μB per cell: 0.00

The following is a GGA-PBE calculation of Sm2Ge4Pd3Au after structural relaxation, from the Alexandria database.

Cell: 4.342 4.342 10.305 Å, 90.00 90.00 90.00°
Space group P-4m2 (No. 115)
Asymmetric unit:
Sm1 0.000 0.500 0.249 x2
Ge1 0.000 0.000 0.000 x1
Ge2 0.000 0.500 0.639 x2
Ge3 0.500 0.500 0.000 x1
Pd1 0.000 0.500 0.875 x2
Pd2 0.500 0.500 0.500 x1
Au1 0.000 0.000 0.500 x1

Calculated values
N(E_F) in states/eV/f.u.: 4.82
Energy in eV/f.u.: -54.2
Formation energy from the elements in eV/atom: -0.745
Spin magnetization in μB per cell: 0.00

The following is a GGA-PBE calculation of Sm3Ge6Pd2Au after structural relaxation, from the Alexandria database.

Cell: 5.9105 5.9105 8.4474 Å, 90.00 90.00 120.00°
Space group P-3m1 (No. 164)
Asymmetric unit:
Sm1 0.0000 0.0000 0.0000 x1
Sm2 0.3333 0.6667 0.6021 x2
Ge1 0.1858 0.3717 0.2679 x6
Pd1 0.3333 0.6667 0.0093 x2
Au1 0.0000 0.0000 0.5000 x1

Calculated values
N(E_F) in states/eV/f.u.: 4.29
Energy in eV/f.u.: -60.5
Formation energy from the elements in eV/atom: -0.418
Spin magnetization in μB per cell: 0.00

The following is a GGA-PBE calculation of Sr2Ge3Pd4Au after structural relaxation, from the Alexandria database.

Cell: 4.476 4.476 10.357 Å, 90.00 90.00 90.00°
Space group P-4m2 (No. 115)
Asymmetric unit:
Sr1 0.000 0.500 0.246 x2
Ge1 0.000 0.000 0.000 x1
Ge2 0.000 0.500 0.615 x2
Pd1 0.000 0.000 0.500 x1
Pd2 0.000 0.500 0.853 x2
Pd3 0.500 0.500 0.500 x1
Au1 0.500 0.500 0.000 x1

Calculated values
N(E_F) in states/eV/f.u.: 3.63
Energy in eV/f.u.: -47.8
Formation energy from the elements in eV/atom: -0.652
Spin magnetization in μB per cell: 0.00

The following is a GGA-PBE calculation of Sr2Ge4PdAu3 after structural relaxation, from the Alexandria database.

Cell: 4.522 4.522 10.644 Å, 90.00 90.00 90.00°
Space group P-4m2 (No. 115)
Asymmetric unit:
Sr1 0.000 0.500 0.245 x2
Ge1 0.000 0.000 0.500 x1
Ge2 0.000 0.500 0.878 x2
Ge3 0.500 0.500 0.500 x1
Pd1 0.500 0.500 0.000 x1
Au1 0.000 0.000 0.000 x1
Au2 0.000 0.500 0.636 x2

Calculated values
N(E_F) in states/eV/f.u.: 5.41
Energy in eV/f.u.: -42.2
Formation energy from the elements in eV/atom: -0.539
Spin magnetization in μB per cell: 0.00

The following is a GGA-PBE calculation of Sr2Ge4Pd3Au after structural relaxation, from the Alexandria database.

Cell: 4.453 4.453 10.423 Å, 90.00 90.00 90.00°
Space group P-4m2 (No. 115)
Asymmetric unit:
Sr1 0.000 0.500 0.246 x2
Ge1 0.000 0.000 0.000 x1
Ge2 0.000 0.500 0.631 x2
Ge3 0.500 0.500 0.000 x1
Pd1 0.000 0.500 0.875 x2
Pd2 0.500 0.500 0.500 x1
Au1 0.000 0.000 0.500 x1

Calculated values
N(E_F) in states/eV/f.u.: 4.10
Energy in eV/f.u.: -47.1
Formation energy from the elements in eV/atom: -0.644
Spin magnetization in μB per cell: 0.00

The following is a GGA-PBE calculation of Sr2Ge3PdAu4 after structural relaxation, from the Alexandria database.

Cell: 4.516 4.516 10.840 Å, 90.00 90.00 90.00°
Space group P-4m2 (No. 115)
Asymmetric unit:
Sr1 0.000 0.500 0.246 x2
Ge1 0.000 0.000 0.000 x1
Ge2 0.000 0.500 0.627 x2
Pd1 0.500 0.500 0.000 x1
Au1 0.000 0.000 0.500 x1
Au2 0.000 0.500 0.859 x2
Au3 0.500 0.500 0.500 x1

Calculated values
N(E_F) in states/eV/f.u.: 5.13
Energy in eV/f.u.: -40.4
Formation energy from the elements in eV/atom: -0.488
Spin magnetization in μB per cell: 0.00